Entry 1
First-principles (PBEsol) data for a relaxed structure of AlCdAg, as listed in the Alexandria database.

Cell lengths 2.9210, 2.9210, 6.5630 Å; angles 102.86, 102.86, 90.00 degrees
Fractional positions:
Al (0.6575, 0.6575, 0.3149)
Ag (0.0088, 0.0088, 0.0176)
Cd (0.3338, 0.3338, 0.6675)

SG   I4mm (107)
Total magnetic moment   0.00 μB/cell

=====

Entry 2
First-principles (PBEsol) data for a relaxed structure of AlCdAg, as listed in the Alexandria database.

Cell lengths 2.9860, 2.9860, 6.8550 Å; angles 90.00, 90.00, 120.00 degrees
Fractional positions:
Al (0.3333, 0.6667, 0.6812)
Ag (0.0000, 0.0000, 0.9867)
Cd (0.6667, 0.3333, 0.3321)

SG   P3m1 (156)
Total magnetic moment   0.00 μB/cell

=====

Entry 3
First-principles (PBEsol) data for a relaxed structure of AlCdAg, as listed in the Alexandria database.

Cell lengths 3.0685, 4.5199, 4.5199 Å; angles 120.00, 90.00, 90.00 degrees
Fractional positions:
Al (0.8333, 0.6667, 0.3333)
Ag (0.8335, 0.0000, 0.0000)
Cd (0.3332, 0.3333, 0.6667)

SG   P-6m2 (187)
Total magnetic moment   0.00 μB/cell

=====

Stability, lowest: entry 3

=====

Entry 1
First-principles (PBEsol) data for a relaxed structure of Al2CuAg, as listed in the Alexandria database.

Cell lengths 2.8114, 4.5338, 4.9852 Å; angles 101.26, 90.00, 108.06 degrees
Fractional positions:
Ag (0.0000, 0.0000, 0.5000)
Cu (0.5000, 0.0000, 0.0000)
Al (0.7574, 0.5147, 0.7659)
Al (0.2426, 0.4853, 0.2341)

SG   C2/m (12)
Total magnetic moment   0.00 μB/cell

=====

Entry 2
First-principles (PBEsol) data for a relaxed structure of Al2CuAg, as listed in the Alexandria database.

Cell lengths 2.8046, 4.8716, 5.2063 Å; angles 117.81, 105.49, 90.27 degrees
Fractional positions:
Cu (0.0000, 0.0000, 0.0000)
Ag (0.5000, 0.5000, 0.0000)
Al (0.0000, 0.5000, 0.5000)
Al (0.5000, 0.0000, 0.5000)

SG   C2/m (12)
Total magnetic moment   0.00 μB/cell

=====

Stability, lowest: entry 2

=====

Entry 1
First-principles (PBEsol) data for a relaxed structure of Al2CuAg, as listed in the Alexandria database.

Cell lengths 2.8516, 4.4995, 4.5642 Å; angles 90.00, 90.00, 90.00 degrees
Fractional positions:
Ag (0.5000, 0.5000, 0.2771)
Cu (0.0000, 0.0000, 0.4864)
Al (0.5000, 0.0000, 0.9653)
Al (0.0000, 0.5000, 0.7712)

SG   Pmm2 (25)
Total magnetic moment   0.00 μB/cell

=====

Entry 2
First-principles (PBEsol) data for a relaxed structure of Al2CuAg, as listed in the Alexandria database.

Cell lengths 2.8360, 2.8360, 8.6336 Å; angles 80.55, 80.55, 60.00 degrees
Fractional positions:
Ag (0.5000, 0.5000, 0.5000)
Cu (0.0000, 0.0000, 0.0000)
Al (0.2555, 0.2555, 0.2335)
Al (0.7445, 0.7445, 0.7665)

SG   R-3m (166)
Total magnetic moment   0.00 μB/cell

=====

Entry 3
First-principles (PBEsol) data for a relaxed structure of Al2CuAg, as listed in the Alexandria database.

Cell lengths 4.0138, 4.0138, 4.6134 Å; angles 115.79, 115.79, 90.00 degrees
Fractional positions:
Cu (0.5000, 0.5000, 0.0000)
Ag (0.0000, 0.0000, 0.0000)
Al (0.7500, 0.2500, 0.5000)
Al (0.2500, 0.7500, 0.5000)

SG   I4/mmm (139)
Total magnetic moment   0.00 μB/cell

=====

Stability, lowest: entry 3

=====

Entry 1
First-principles (PBEsol) data for a relaxed structure of Al2CuAg, as listed in the Alexandria database.

Cell lengths 3.2989, 3.2989, 5.4160 Å; angles 90.00, 90.00, 90.00 degrees
Fractional positions:
Ag (0.5000, 0.5000, 0.7556)
Cu (0.0000, 0.0000, 0.4755)
Al (0.0000, 0.0000, 0.9941)
Al (0.5000, 0.5000, 0.2748)

SG   P4mm (99)
Total magnetic moment   0.00 μB/cell

=====

Entry 2
First-principles (PBEsol) data for a relaxed structure of Al2CuAg, as listed in the Alexandria database.

Cell lengths 3.0116, 4.5027, 4.5027 Å; angles 105.30, 90.00, 90.00 degrees
Fractional positions:
Cu (0.5000, 0.0000, 0.0000)
Ag (0.5000, 0.5000, 0.5000)
Al (0.0000, 0.5000, 0.0000)
Al (0.0000, 0.0000, 0.5000)

SG   Cmmm (65)
Total magnetic moment   0.00 μB/cell

=====

Stability, lowest: entry 2

=====

Entry 1
First-principles (PBEsol) data for a relaxed structure of Al3AgF, as listed in the Alexandria database.

Cell lengths 4.4006, 4.4006, 4.4006 Å; angles 90.00, 90.00, 90.00 degrees
Fractional positions:
Al (0.0000, 0.5000, 0.0000)
Al (0.0000, 0.0000, 0.5000)
Al (0.5000, 0.0000, 0.0000)
Ag (0.5000, 0.5000, 0.5000)
F (0.0000, 0.0000, 0.0000)

SG   Pm-3m (221)
Total magnetic moment   0.00 μB/cell

=====

Entry 2
First-principles (PBEsol) data for a relaxed structure of Al3AgF, as listed in the Alexandria database.

Cell lengths 4.7763, 4.7763, 4.7763 Å; angles 90.00, 90.00, 90.00 degrees
Fractional positions:
Al (0.0000, 0.5000, 0.0000)
Al (0.0000, 0.0000, 0.5000)
Al (0.5000, 0.0000, 0.0000)
Ag (0.0000, 0.0000, 0.0000)
F (0.5000, 0.5000, 0.5000)

SG   Pm-3m (221)
Total magnetic moment   0.00 μB/cell

=====

Stability, lowest: entry 2

=====

Entry 1
First-principles (PBEsol) data for a relaxed structure of Al2FeAg, as listed in the Alexandria database.

Cell lengths 2.8666, 2.8668, 6.6048 Å; angles 90.00, 89.97, 90.00 degrees
Fractional positions:
Fe (0.5000, 0.5000, 0.0000)
Ag (0.5000, 0.5000, 0.5000)
Al (0.0004, 0.0000, 0.7950)
Al (0.9996, 0.0000, 0.2050)

SG   P4/mmm (123)
Total magnetic moment   0.00 μB/cell

=====

Entry 2
First-principles (PBEsol) data for a relaxed structure of Al2FeAg, as listed in the Alexandria database.

Cell lengths 2.7456, 4.4320, 4.9870 Å; angles 100.16, 90.00, 108.04 degrees
Fractional positions:
Fe (0.0000, 0.0000, 0.5000)
Ag (0.5000, 0.0000, 0.0000)
Al (0.7419, 0.4839, 0.7265)
Al (0.2581, 0.5161, 0.2735)

SG   C2/m (12)
Total magnetic moment   1.64 μB/cell

=====

Entry 3
First-principles (PBEsol) data for a relaxed structure of Al2FeAg, as listed in the Alexandria database.

Cell lengths 2.8318, 3.7343, 5.3745 Å; angles 90.00, 90.00, 90.00 degrees
Fractional positions:
Fe (0.0000, 0.0000, 0.4655)
Ag (0.5000, 0.5000, 0.7605)
Al (0.0000, 0.0000, 0.9928)
Al (0.5000, 0.5000, 0.2812)

SG   Pmm2 (25)
Total magnetic moment   1.84 μB/cell

=====

Entry 4
First-principles (PBEsol) data for a relaxed structure of Al2FeAg, as listed in the Alexandria database.

Cell lengths 2.8712, 4.4019, 4.4019 Å; angles 96.53, 90.00, 90.00 degrees
Fractional positions:
Fe (0.5000, 0.0000, 0.0000)
Ag (0.5000, 0.5000, 0.5000)
Al (0.0000, 0.5000, 0.0000)
Al (0.0000, 0.0000, 0.5000)

SG   Cmmm (65)
Total magnetic moment   1.52 μB/cell

=====

Stability, lowest: entry 3